(1)
# LaNdCdBi

A relaxed structure of LaNdCdBi (PBE, Alexandria via LeMat-Bulk).

## Properties
Symmetry = F-43m, No. 216
ΔH_f (0 K) = -526.8 meV/atom

abc: 5.5782 5.5782 5.5782
angles: 60.00 60.00 60.00
Element x y z (fractional)
La1 0.0000 0.0000 0.0000
Bi1 0.2500 0.2500 0.2500
Nd1 0.5000 0.5000 0.5000
Cd1 0.7500 0.7500 0.7500



(2)
# La2CdNiBi

A relaxed structure of La2CdNiBi (PBE, Alexandria via LeMat-Bulk).

## Properties
Symmetry = P4/mmm, No. 123
ΔH_f (0 K) = -522.9 meV/atom

abc: 5.3811 5.3811 4.9760
angles: 90.00 90.00 90.00
Element x y z (fractional)
Cd1 0.0000 0.0000 0.5000
La1 0.5000 0.0000 0.0000
La2 0.0000 0.5000 0.0000
Bi1 0.5000 0.5000 0.5000
Ni1 0.0000 0.0000 0.0000



(3)
# La2CdBiO6

A relaxed structure of La2CdBiO6 (PBE, Alexandria via LeMat-Bulk).

## Properties
Symmetry = R3, No. 146
Formation energy without anion corrections = -2.21 eV/atom

abc: 6.0477 6.0477 6.2438
angles: 61.03 61.03 60.00
Element x y z (fractional)
O1 0.9458 0.6045 0.2567
O2 0.1188 0.4327 0.7631
O3 0.6855 0.1188 0.7631
O4 0.1929 0.9458 0.2567
O5 0.4327 0.6855 0.7631
O6 0.6044 0.1929 0.2567
La1 0.0311 0.0311 0.9067
La2 0.5312 0.5312 0.4063
Cd1 0.8066 0.8066 0.5801
Bi1 0.3124 0.3124 0.0628



(4)
# LaPrCdBi

A relaxed structure of LaPrCdBi (PBE, Alexandria via LeMat-Bulk).

## Properties
Symmetry = F-43m, No. 216
ΔH_f (0 K) = -532.7 meV/atom

abc: 5.5960 5.5960 5.5960
angles: 60.00 60.00 60.00
Element x y z (fractional)
Bi1 0.2500 0.2500 0.2500
Cd1 0.7500 0.7500 0.7500
La1 0.0000 0.0000 0.0000
Pr1 0.5000 0.5000 0.5000



(5)
# La2CdBiRh

A relaxed structure of La2CdBiRh (PBE, Alexandria via LeMat-Bulk).

## Properties
Symmetry = P4/mmm, No. 123
ΔH_f (0 K) = -640.5 meV/atom

abc: 5.4713 5.4713 5.1703
angles: 90.00 90.00 90.00
Element x y z (fractional)
La1 0.0000 0.5000 0.0000
La2 0.5000 0.0000 0.0000
Bi1 0.5000 0.5000 0.5000
Rh1 0.0000 0.0000 0.0000
Cd1 0.0000 0.0000 0.5000



(6)
# LaCd2BiRh

A relaxed structure of LaCd2BiRh (PBE, Alexandria via LeMat-Bulk).

## Properties
Symmetry = P4/mmm, No. 123
ΔH_f (0 K) = -306.3 meV/atom

abc: 5.2158 5.2158 5.2824
angles: 90.00 90.00 90.00
Element x y z (fractional)
Cd1 0.0000 0.5000 0.0000
Cd2 0.5000 0.0000 0.0000
La1 0.0000 0.0000 0.5000
Rh1 0.0000 0.0000 0.0000
Bi1 0.5000 0.5000 0.5000



(7)
# La2CdBiRu

A relaxed structure of La2CdBiRu (PBE, Alexandria via LeMat-Bulk).

## Properties
Symmetry = P4/mmm, No. 123
Polymorph energy (0 for the lowest one) = 0.000 eV/atom
ΔH_f (0 K) = -427.1 meV/atom

abc: 5.3791 5.3791 5.2259
angles: 90.00 90.00 90.00
Element x y z (fractional)
Bi1 0.5000 0.5000 0.5000
Ru1 0.0000 0.0000 0.0000
Cd1 0.0000 0.0000 0.5000
La1 0.5000 0.0000 0.0000
La2 0.0000 0.5000 0.0000



(8)
# La2CdBiRu

A relaxed structure of La2CdBiRu (PBE, Alexandria via LeMat-Bulk).

## Properties
Symmetry = P4/mmm, No. 123
Polymorph energy (0 for the lowest one) = 0.120 eV/atom
ΔH_f (0 K) = -306.8 meV/atom

abc: 5.4548 5.2887 5.4548
angles: 90.00 90.00 90.00
Element x y z (fractional)
La1 0.5000 0.0000 0.0000
La2 0.0000 0.0000 0.5000
Bi1 0.0000 0.5000 0.0000
Cd1 0.5000 0.5000 0.5000
Ru1 0.0000 0.0000 0.0000



(9)
# LaScCdBi

A relaxed structure of LaScCdBi (PBE, Alexandria via LeMat-Bulk).

## Properties
Symmetry = F-43m, No. 216
ΔH_f (0 K) = -404.6 meV/atom

abc: 5.4011 5.4011 5.4011
angles: 60.00 60.00 60.00
Element x y z (fractional)
Cd1 0.0000 0.0000 0.0000
Bi1 0.5000 0.5000 0.5000
La1 0.2500 0.2500 0.2500
Sc1 0.7500 0.7500 0.7500



(10)
# LaCdBiSe

A relaxed structure of LaCdBiSe (PBE, Alexandria via LeMat-Bulk).

## Properties
Symmetry = P4/nmm, No. 129
Formation energy without anion corrections = -0.94 eV/atom

abc: 4.8964 4.8964 9.7941
angles: 90.00 90.00 90.00
Element x y z (fractional)
Bi1 0.0000 0.5000 0.8031
Bi2 0.5000 0.0000 0.1969
Se1 0.0000 0.0000 0.5000
Se2 0.5000 0.5000 0.5000
La1 0.5000 0.0000 0.6698
La2 0.0000 0.5000 0.3302
Cd1 0.0000 0.0000 0.0000
Cd2 0.5000 0.5000 0.0000



(11)
# LaCdSnBi

A relaxed structure of LaCdSnBi (PBE, Alexandria via LeMat-Bulk).

## Properties
Symmetry = Pmmm, No. 47
ΔH_f (0 K) = -536.9 meV/atom

abc: 4.6242 4.9998 4.9347
angles: 90.00 90.00 90.00
Element x y z (fractional)
Cd1 0.0000 0.0000 0.0000
La1 0.0000 0.5000 0.5000
Sn1 0.5000 0.0000 0.5000
Bi1 0.5000 0.5000 0.0000



(12)
# SrLaCdBi

A relaxed structure of SrLaCdBi (PBE, Alexandria via LeMat-Bulk).

## Properties
Symmetry = F-43m, No. 216
ΔH_f (0 K) = -531.2 meV/atom

abc: 5.6998 5.6998 5.6998
angles: 60.00 60.00 60.00
Element x y z (fractional)
Cd1 0.5000 0.5000 0.5000
Sr1 0.7500 0.7500 0.7500
Bi1 0.0000 0.0000 0.0000
La1 0.2500 0.2500 0.2500



(13)
# LaTbCdBi

A relaxed structure of LaTbCdBi (PBE, Alexandria via LeMat-Bulk).

## Properties
Symmetry = F-43m, No. 216
ΔH_f (0 K) = -488.3 meV/atom

abc: 5.5184 5.5184 5.5184
angles: 60.00 60.00 60.00
Element x y z (fractional)
Bi1 0.2500 0.2500 0.2500
La1 0.0000 0.0000 0.0000
Cd1 0.7500 0.7500 0.7500
Tb1 0.5000 0.5000 0.5000



(14)
# La2CdTcBi

A relaxed structure of La2CdTcBi (PBE, Alexandria via LeMat-Bulk).

## Properties
Symmetry = P4/mmm, No. 123
ΔH_f (0 K) = 1051.3 meV/atom

abc: 5.9042 5.3907 5.9042
angles: 90.00 90.00 90.00
Last column: magnetic moment on the atom in μB.
Element x y z (fractional)
Bi1 0.0000 0.5000 0.0000  0.03
La1 0.5000 0.0000 0.0000  -0.23
La2 0.0000 0.0000 0.5000  -0.18
Tc1 0.5000 0.5000 0.5000  3.00
Cd1 0.0000 0.0000 0.0000  -0.02



(15)
# LaCdBi2Te

A relaxed structure of LaCdBi2Te (PBE, Alexandria via LeMat-Bulk).

## Properties
Symmetry = P4/mmm, No. 123
Formation energy without anion corrections = 0.14 eV/atom

abc: 6.0036 5.3274 6.0036
angles: 90.00 90.00 90.00
Element x y z (fractional)
La1 0.5000 0.5000 0.5000
Bi1 0.0000 0.0000 0.5000
Bi2 0.5000 0.0000 0.0000
Cd1 0.0000 0.5000 0.0000
Te1 0.0000 0.0000 0.0000



(16)
# LaY2CdBi

A relaxed structure of LaY2CdBi (PBE, Alexandria via LeMat-Bulk).

## Properties
Symmetry = P4/mmm, No. 123
ΔH_f (0 K) = 256.0 meV/atom

abc: 5.8452 5.5937 5.8452
angles: 90.00 90.00 90.00
Last column: magnetic moment on the atom in μB.
Element x y z (fractional)
Bi1 0.0000 0.0000 0.0000  0.00
Y1 0.5000 0.0000 0.0000  0.22
Y2 0.0000 0.0000 0.5000  0.22
La1 0.5000 0.5000 0.5000  0.28
Cd1 0.0000 0.5000 0.0000  0.00



(17)
# Li2Cd2Bi3

A relaxed structure of Li2Cd2Bi3 (PBE, Alexandria via LeMat-Bulk).

## Properties
Symmetry = P-1, No. 2
ΔH_f (0 K) = -153.9 meV/atom

abc: 4.4653 5.1252 10.3581
angles: 109.92 95.60 117.23
Element x y z (fractional)
Cd1 0.8434 0.8171 0.5982
Cd2 0.1566 0.1829 0.4018
Li1 0.3824 0.7088 0.1178
Li2 0.6176 0.2912 0.8822
Bi1 0.2314 0.5684 0.7359
Bi2 0.0000 0.0000 0.0000
Bi3 0.7686 0.4316 0.2641



(18)
# Li2CdBi2

A relaxed structure of Li2CdBi2 (PBE, Alexandria via LeMat-Bulk).

## Properties
Symmetry = P2_1/c, No. 14
Polymorph energy (0 for the lowest one) = 0.000 eV/atom
ΔH_f (0 K) = -239.0 meV/atom

abc: 7.1642 7.5628 9.8594
angles: 90.00 111.76 90.00
Element x y z (fractional)
Bi1 0.3370 0.1529 0.9837
Bi2 0.6630 0.8471 0.0163
Bi3 0.7610 0.4656 0.4693
Bi4 0.2390 0.5344 0.5307
Bi5 0.1630 0.6529 0.0163
Bi6 0.8370 0.3471 0.9837
Bi7 0.7390 0.9656 0.5307
Bi8 0.2610 0.0344 0.4693
Li1 0.5934 0.5010 0.1493
Li2 0.4066 0.4990 0.8507
Li3 0.9146 0.7700 0.3326
Li4 0.5854 0.2700 0.6674
Li5 0.0854 0.2300 0.6674
Li6 0.4146 0.7300 0.3326
Li7 0.9066 0.0010 0.8507
Li8 0.0934 0.9990 0.1493
Cd1 0.2006 0.8376 0.7384
Cd2 0.7994 0.1624 0.2616
Cd3 0.7006 0.6624 0.7384
Cd4 0.2994 0.3376 0.2616



(19)
# Li2CdBi2

A relaxed structure of Li2CdBi2 (PBE, Alexandria via LeMat-Bulk).

## Properties
Symmetry = P-6m2, No. 187
Polymorph energy (0 for the lowest one) = 0.146 eV/atom
ΔH_f (0 K) = -93.3 meV/atom

abc: 4.9935 4.9935 6.2362
angles: 90.00 90.00 120.00
Element x y z (fractional)
Bi1 0.6667 0.3333 0.0000
Bi2 0.3333 0.6667 0.5000
Cd1 0.3333 0.6667 0.0000
Li1 0.0000 0.0000 0.7264
Li2 0.0000 0.0000 0.2736



(20)
# Li4CdBi2

A relaxed structure of Li4CdBi2 (PBE, Alexandria via LeMat-Bulk).

## Properties
Symmetry = P2_1/m, No. 11
Polymorph energy (0 for the lowest one) = 0.044 eV/atom
ΔH_f (0 K) = -346.2 meV/atom

abc: 7.7874 5.2340 9.2135
angles: 90.00 123.42 90.00
Element x y z (fractional)
Li1 0.3894 0.0051 0.3076
Li2 0.7471 0.2500 0.2703
Li3 0.6106 0.9949 0.6924
Li4 0.6106 0.5051 0.6924
Li5 0.0270 0.7500 0.3583
Li6 0.9730 0.2500 0.6417
Li7 0.2529 0.7500 0.7297
Li8 0.3894 0.4949 0.3076
Cd1 0.9615 0.2500 0.0821
Cd2 0.0385 0.7500 0.9179
Bi1 0.7743 0.7500 0.5084
Bi2 0.2257 0.2500 0.4916
Bi3 0.3049 0.2500 0.9934
Bi4 0.6951 0.7500 0.0066